i | Compound: ZrMoSeBr2
Source: the Alexandria database
Functional: PBE
Structure: relaxed

Summary:
Crystal system: tetragonal
Density, g/cm³: 5.43
V, Å³/atom: 26.0

```
ZrMoSeBr2
1.0
5.074 0.000 0.000
0.000 5.074 0.000
0.000 0.000 5.055
Br Mo Se Zr
2 1 1 1
Direct
0.000 0.500 0.000
0.500 0.000 0.000
0.000 0.000 0.000
0.000 0.000 0.500
0.500 0.500 0.500
```

=====

ii | Compound: ZrMoSeBr2
Source: the Alexandria database
Functional: PBE
Structure: relaxed

Summary:
Crystal system: tetragonal
Density, g/cm³: 4.75
V, Å³/atom: 29.8

```
ZrMoSeBr2
1.0
5.329 0.000 0.000
0.000 5.329 0.000
0.000 0.000 5.238
Se Mo Br Zr
1 1 2 1
Direct
0.000 0.000 0.500
0.500 0.500 0.500
0.500 0.000 0.000
0.000 0.500 0.000
0.000 0.000 0.000
```

=====

Short version: ii, i, most stable first.

=====

i | Compound: Si2MoBr
Source: the Alexandria database
Functional: PBE
Structure: relaxed

Summary:
Crystal system: orthorhombic
Density, g/cm³: 5.40
V, Å³/atom: 17.8

```
Si2MoBr
1.0
3.082 -0.102 0.000
-0.978 2.924 0.000
0.000 0.000 8.006
Si Mo Br
2 1 1
Direct
0.000 0.000 0.531
0.000 0.000 0.969
0.500 0.500 0.750
0.500 0.500 0.250
```

=====

ii | Compound: Si2MoBr
Source: the Alexandria database
Functional: PBE
Structure: relaxed

Summary:
Crystal system: tetragonal
Density, g/cm³: 5.65
V, Å³/atom: 17.1

```
Si2MoBr
1.0
4.930 0.000 0.000
0.000 4.930 0.000
0.000 0.000 2.806
Br Si Mo
1 2 1
Direct
0.500 0.000 0.500
0.000 0.000 0.000
0.500 0.500 0.000
0.000 0.500 0.500
```

=====

Short version: i, ii, most stable first.

=====

i | Compound: Si2MoBr
Source: the Alexandria database
Functional: PBE
Structure: relaxed

Summary:
Crystal system: monoclinic
Density, g/cm³: 5.05
V, Å³/atom: 19.1

```
Si2MoBr
1.0
4.165 0.000 0.000
0.000 3.674 -0.004
0.000 1.388 4.988
Si Br Mo
2 1 1
Direct
0.000 0.809 0.044
0.500 0.236 0.129
0.000 0.598 0.528
0.500 0.857 0.799
```

=====

ii | Compound: Si2MoBr
Source: the Alexandria database
Functional: PBE
Structure: relaxed

Summary:
Crystal system: cubic
Density, g/cm³: 5.78
V, Å³/atom: 16.7

```
Si2MoBr
1.0
0.000 3.218 3.218
3.218 0.000 3.218
3.218 3.218 0.000
Si Br Mo
2 1 1
Direct
0.250 0.250 0.250
0.750 0.750 0.750
0.000 0.000 0.000
0.500 0.500 0.500
```

=====

Short version: i, ii, most stable first.

=====

i | Compound: Si2MoBr
Source: the Alexandria database
Functional: PBE
Structure: relaxed

Summary:
Crystal system: orthorhombic
Density, g/cm³: 5.58
V, Å³/atom: 17.3

```
Si2MoBr
1.0
-2.141 0.673 -5.049
2.523 -2.366 -4.309
-2.536 -0.687 4.861
Mo Br Si
1 1 2
Direct
0.250 0.750 0.500
0.750 0.250 0.500
0.467 0.467 0.000
0.033 0.033 0.000
```

=====

ii | Compound: Si2MoBr
Source: the Alexandria database
Functional: PBE
Structure: relaxed

Summary:
Crystal system: cubic
Density, g/cm³: 6.01
V, Å³/atom: 16.0

```
Si2MoBr
1.0
-3.002 -0.318 3.327
-1.462 -4.035 1.328
1.241 -1.635 3.997
Si Br Mo
2 1 1
Direct
0.000 0.000 0.000
0.250 0.250 0.250
0.500 0.500 0.500
0.750 0.750 0.750
```

=====

Short version: i, ii, most stable first.